Entry from Alexandria: a relaxed CaBi2PdO6 crystal (PBE-GGA).

Cell: 5.8451 5.8452 5.9691 Å, 60.68 60.68 59.99°
Closest atoms and distances in Å follow each position.
Positions (direct):
Ca  0.8065  0.8065  0.5804  6 O 2.25-2.40
Bi  0.5312  0.5313  0.4063  6 O 2.38-2.47
Bi  0.0246  0.0246  0.9261  6 O 2.37-2.45
Pd  0.3216  0.3215  0.0354  6 O 2.02-2.09
O  0.5895  0.1795  0.2483  1 Pd 2.09
O  0.1795  0.9827  0.2483  1 Pd 2.09
O  0.9828  0.5895  0.2482  1 Pd 2.09
O  0.4461  0.6536  0.7740  1 Pd 2.02, 1 Ca 2.25
O  0.6537  0.1261  0.7741  1 Pd 2.02, 1 Ca 2.25
O  0.1263  0.4461  0.7740  1 Pd 2.02, 1 Ca 2.25

The calculation puts the magnetization at 0.00 μB per formula unit. Its raw total energy is -5.786 eV per atom.